Record 1
# Ti2GeTeSe PBE-GGA relaxed
data_Ti2GeTeSe
_chemical_formula_sum 'Ti2 Ge1 Te1 Se1'
_symmetry_space_group_name_H-M 'P 4/m m m'
_symmetry_Int_Tables_number 123
_symmetry_space_group_name_Hall '-P 4 2'
_cell_length_a 5.079
_cell_length_b 5.079
_cell_length_c 5.360
_cell_angle_alpha 90.00
_cell_angle_beta 90.00
_cell_angle_gamma 90.00
loop_
_atom_site_label
_atom_site_type_symbol
_atom_site_fract_x
_atom_site_fract_y
_atom_site_fract_z
_atom_site_occupancy
Ti1 Ti 0.000 0.500 0.000 1
Ge1 Ge 0.000 0.000 0.500 1
Te1 Te 0.500 0.500 0.000 1
Se1 Se 0.500 0.500 0.500 1
# Electronic total energy   -4.491 eV per atom
# Uncorrected formation energy   0.92 eV per atom

Record 2
# Tl2GeTeSe4 PBE-GGA relaxed
data_Tl2GeTeSe4
_chemical_formula_sum 'Tl8 Ge4 Te4 Se16'
_symmetry_space_group_name_H-M 'I m m a'
_symmetry_Int_Tables_number 74
_symmetry_space_group_name_Hall '-I 2b 2'
_cell_length_a 8.523
_cell_length_b 8.590
_cell_length_c 12.073
_cell_angle_alpha 90.00
_cell_angle_beta 90.00
_cell_angle_gamma 90.00
loop_
_atom_site_label
_atom_site_type_symbol
_atom_site_fract_x
_atom_site_fract_y
_atom_site_fract_z
_atom_site_occupancy
Tl1 Tl 0.000 0.000 0.000 1
Tl2 Tl 0.250 0.250 0.250 1
Ge1 Ge 0.250 0.250 0.750 1
Te1 Te 0.000 0.000 0.500 1
Se1 Se 0.000 0.027 0.738 1
Se2 Se 0.229 0.250 0.513 1
# Electronic total energy   -3.508 eV per atom
# Uncorrected formation energy   -0.20 eV per atom

Record 3
# TlGeTeSe4 PBE-GGA relaxed
data_TlGeTeSe4
_chemical_formula_sum 'Tl2 Ge2 Te2 Se8'
_symmetry_space_group_name_H-M 'P 1 21/m 1'
_symmetry_Int_Tables_number 11
_cell_length_a 7.032
_cell_length_b 7.151
_cell_length_c 8.911
_cell_angle_alpha 90.00
_cell_angle_beta 107.06
_cell_angle_gamma 90.00
loop_
_symmetry_equiv_pos_as_xyz
'x,y,z'
'-x,-y,-z'
'-x,y+1/2,-z'
'x,-y+1/2,z'
loop_
_atom_site_label
_atom_site_type_symbol
_atom_site_fract_x
_atom_site_fract_y
_atom_site_fract_z
_atom_site_occupancy
Tl1 Tl 0.234 0.250 0.060 1
Ge1 Ge 0.194 0.750 0.309 1
Te1 Te 0.290 0.250 0.556 1
Se1 Se 0.011 0.514 0.738 1
Se2 Se 0.423 0.750 0.576 1
Se3 Se 0.436 0.750 0.164 1
# Electronic total energy   -3.583 eV per atom
# Uncorrected formation energy   -0.15 eV per atom

- uncorrected formation energy of number 3 (TlGeTeSe4)?
  -0.15 eV per atom

Please write out number 1 again, unchanged.
# Ti2GeTeSe PBE-GGA relaxed
data_Ti2GeTeSe
_chemical_formula_sum 'Ti2 Ge1 Te1 Se1'
_symmetry_space_group_name_H-M 'P 4/m m m'
_symmetry_Int_Tables_number 123
_symmetry_space_group_name_Hall '-P 4 2'
_cell_length_a 5.079
_cell_length_b 5.079
_cell_length_c 5.360
_cell_angle_alpha 90.00
_cell_angle_beta 90.00
_cell_angle_gamma 90.00
loop_
_atom_site_label
_atom_site_type_symbol
_atom_site_fract_x
_atom_site_fract_y
_atom_site_fract_z
_atom_site_occupancy
Ti1 Ti 0.000 0.500 0.000 1
Ge1 Ge 0.000 0.000 0.500 1
Te1 Te 0.500 0.500 0.000 1
Se1 Se 0.500 0.500 0.500 1
# Electronic total energy   -4.491 eV per atom
# Uncorrected formation energy   0.92 eV per atom